Entry 1:
VASP calculation (PBE-GGA) on crystalline HfZnGa2 at its relaxed geometry.

The space group is F-43m (No. 216) and the conventional cell measures 6.578, 6.578 and 6.578 Å, with angles of 90.00, 90.00 and 90.00 degrees. The asymmetric unit holds Hf at (0.000, 0.000, 0.000), Zn at (0.250, 0.250, 0.250), Ga at (0.000, 0.000, 0.500) and Ga at (0.250, 0.250, 0.750).

The crystal system is cubic. The total energy comes out at -4.2575 eV per atom.

Entry 2:
VASP calculation (PBE-GGA) on crystalline HfZn2Ga at its relaxed geometry.

The space group is F-43m (No. 216) and the conventional cell measures 6.468, 6.468 and 6.468 Å, with angles of 90.00, 90.00 and 90.00 degrees. The asymmetric unit holds Hf at (0.000, 0.000, 0.000), Zn at (0.000, 0.000, 0.500), Zn at (0.250, 0.250, 0.250) and Ga at (0.250, 0.250, 0.750).

The crystal system is cubic. The total energy comes out at -3.8850 eV per atom.

Entry 3:
VASP calculation (PBE-GGA) on crystalline Hf2ZnGa at its relaxed geometry.

The space group is F-43m (No. 216) and the conventional cell measures 6.700, 6.700 and 6.700 Å, with angles of 90.00, 90.00 and 90.00 degrees. The asymmetric unit holds Hf at (0.000, 0.000, 0.000), Hf at (0.250, 0.250, 0.250), Zn at (0.250, 0.250, 0.750) and Ga at (0.000, 0.000, 0.500).

The crystal system is cubic. The total energy comes out at -5.7745 eV per atom.

Entry 4:
VASP calculation (PBE-GGA) on crystalline HfZnGa2 at its relaxed geometry.

The space group is F-43m (No. 216) and the conventional cell measures 6.579, 6.579 and 6.579 Å, with angles of 90.00, 90.00 and 90.00 degrees. The asymmetric unit holds Hf at (0.000, 0.000, 0.000), Zn at (0.250, 0.250, 0.750), Ga at (0.000, 0.000, 0.500) and Ga at (0.250, 0.250, 0.250).

The crystal system is cubic. The total energy comes out at -4.2575 eV per atom.

Entry 5:
VASP calculation (PBE-GGA) on crystalline HfZrZn2Ga2 at its relaxed geometry.

The space group is P-3m1 (No. 164) and the conventional cell measures 4.2974, 4.2974 and 6.4199 Å, with angles of 90.00, 90.00 and 120.00 degrees. The asymmetric unit holds Hf at (0.0000, 0.0000, 0.0000), Zr at (0.0000, 0.0000, 0.5000), Zn at (0.3333, 0.6667, 0.7536) and Ga at (0.3333, 0.6667, 0.2462).

The crystal system is trigonal. The total energy comes out at -4.9437 eV per atom.

Entry 6:
VASP calculation (PBE-GGA) on crystalline HfZr2Ga2 at its relaxed geometry.

The space group is I4/mmm (No. 139) and the conventional cell measures 3.926, 3.926 and 13.894 Å, with angles of 90.00, 90.00 and 90.00 degrees. The asymmetric unit holds Hf at (0.000, 0.000, 0.000), Zr at (0.000, 0.000, 0.398) and Ga at (0.000, 0.500, 0.250).

The crystal system is tetragonal. The energy above the lowest structure with this stoichiometry comes out at 0.673 eV/atom. The total energy comes out at -6.4757 eV per atom.

Number 1: V 285 Å³/cell. Number 2: V 271 Å³/cell. Number 3: V 301 Å³/cell. Number 4: V 285 Å³/cell. Number 5: V 103 Å³/cell. Number 6: V 214 Å³/cell.